Entry 1:
A plane-wave DFT calculation with PBE was carried out for a geometry-optimized BaLiCa structure.

Cell lengths 9.363, 10.695, 10.695 Å; angles 57.61, 64.04, 64.04 degrees
Fractional coordinates of all 18 atoms:
Ba1 0.257 0.956 0.456
Ba2 0.669 0.044 0.544
Ba3 0.669 0.544 0.044
Ba4 0.257 0.456 0.956
Ba5 0.844 0.250 0.750
Ba6 0.845 0.750 0.250
Ca1 0.498 0.500 0.500
Ca2 0.498 0.000 0.000
Ca3 0.257 0.880 0.878
Ca4 0.016 0.120 0.122
Ca5 0.016 0.622 0.620
Ca6 0.257 0.378 0.380
Li1 0.258 0.749 0.249
Li2 0.256 0.251 0.751
Li3 0.590 0.667 0.666
Li4 0.923 0.333 0.334
Li5 0.923 0.834 0.833
Li6 0.590 0.166 0.167

Values from the calculation:
distance to the lowest polymorph of the same formula: 0 kJ/mol of formula units
calculated total energy: -5.74 eV per formula unit
total magnetization: 0.0 μB per formula unit
crystal system: orthorhombic
volume: 43.52 Å³ per atom

Entry 2:
A plane-wave DFT calculation with PBE was carried out for a geometry-optimized KNa3O structure.

Cell lengths 5.932, 7.587, 6.876 Å; angles 89.95, 90.00, 89.98 degrees
Fractional coordinates of all 10 atoms:
K1 0.346 0.342 0.701
K2 0.846 0.011 0.200
Na1 0.496 0.416 0.201
Na2 0.431 0.770 0.943
Na3 0.931 0.583 0.443
Na4 0.996 0.937 0.701
Na5 0.931 0.583 0.958
Na6 0.431 0.770 0.458
O1 0.175 0.671 0.701
O2 0.675 0.682 0.201

Values from the calculation:
distance to the lowest polymorph of the same formula: 0 kJ/mol of formula units
calculated total energy: -13.11 eV per formula unit
total magnetization: 0.0 μB per formula unit
crystal system: monoclinic
formation energy from raw total energies: -620 meV per atom
volume: 30.94 Å³ per atom